Here is an optimized crystal structure of Rb2Tl2Hg from Alexandria via LeMat-Bulk. Energies are from PBE-GGA.

a = 11.035 Å, b = 11.035 Å, c = 3.950 Å
α = 90.00°, β = 90.00°, γ = 90.00°
Fractional positions:
Rb 0.198 0.302 0.000
Rb 0.302 0.802 0.000
Rb 0.698 0.198 0.000
Rb 0.802 0.698 0.000
Tl 0.094 0.594 0.500
Tl 0.406 0.094 0.500
Tl 0.594 0.906 0.500
Tl 0.906 0.406 0.500
Hg 0.000 0.000 0.000
Hg 0.500 0.500 0.000

Results
Energy above the most stable polymorph in this dataset ... 0.169 eV per atom
Formation energy ... 0.05 eV per atom
Crystal system ... tetragonal
Magnetization ... 0.00 μB/cell